No. 1
Computed, not measured: a relaxed structure of PmNd2Sm3Tm6 at the PBE-GGA level of DFT.

Output
DOS at the Fermi energy: 12.77 states/eV/cell
formation energy: 0.0168 eV/atom
ρ: 8.23 g cm⁻³

abc: 6.1966 6.1966 11.6991
angles: 95.05 95.05 119.98
Fractional coordinates of all 12 atoms:
Pm (0.0000, 0.0000, 0.0000)
Nd (0.3335, 0.6665, 0.0000)
Nd (0.6665, 0.3335, 0.0000)
Sm (0.1667, 0.8333, 0.5000)
Sm (0.5000, 0.5000, 0.5000)
Sm (0.8333, 0.1667, 0.5000)
Tm (0.0840, 0.4172, 0.2510)
Tm (0.2492, 0.2492, 0.7489)
Tm (0.4172, 0.0840, 0.2510)
Tm (0.5828, 0.9160, 0.7490)
Tm (0.7508, 0.7508, 0.2511)
Tm (0.9160, 0.5828, 0.7490)


No. 2
Computed, not measured: a relaxed structure of Pm3Nd6SmY2 at the PBE-GGA level of DFT.

Output
DOS at the Fermi energy: 16.68 states/eV/cell
formation energy: 0.0113 eV/atom
ρ: 6.54 g cm⁻³

abc: 6.3374 6.3374 12.0725
angles: 95.02 95.02 120.01
Fractional coordinates of all 12 atoms:
Pm (0.0000, 0.0000, 0.0000)
Pm (0.3332, 0.6668, 0.0000)
Pm (0.6668, 0.3332, 0.0000)
Nd (0.0837, 0.4168, 0.2517)
Nd (0.2501, 0.2501, 0.7483)
Nd (0.4168, 0.0837, 0.2517)
Nd (0.5832, 0.9163, 0.7483)
Nd (0.7499, 0.7499, 0.2517)
Nd (0.9163, 0.5832, 0.7483)
Sm (0.5000, 0.5000, 0.5000)
Y (0.1666, 0.8334, 0.5000)
Y (0.8334, 0.1666, 0.5000)


No. 3
Computed, not measured: a relaxed structure of Pm2Nd5SmY at the PBE-GGA level of DFT.

Output
DOS at the Fermi energy: 29.82 states/eV/cell
formation energy: 0.2743 eV/atom
ρ: 6.58 g cm⁻³

abc: 10.2209 10.2209 10.2209
angles: 128.80 128.80 75.34
Fractional coordinates of all 18 atoms:
Pm (0.1180, 0.6180, 0.7361)
Pm (0.3820, 0.1180, 0.5000)
Pm (0.6180, 0.8820, 0.5000)
Pm (0.8820, 0.3820, 0.2639)
Nd (0.0000, 0.0000, 0.0000)
Nd (0.0723, 0.1475, 0.5000)
Nd (0.1475, 0.6475, 0.0752)
Nd (0.3525, 0.4277, 0.5000)
Nd (0.4277, 0.9277, 0.0752)
Nd (0.5000, 0.5000, 0.0000)
Nd (0.5723, 0.0723, 0.9248)
Nd (0.6475, 0.5723, 0.5000)
Nd (0.8525, 0.3525, 0.9248)
Nd (0.9277, 0.8525, 0.5000)
Sm (0.2500, 0.2500, 0.0000)
Sm (0.7500, 0.7500, 0.0000)
Y (0.2500, 0.7500, 0.5000)
Y (0.7500, 0.2500, 0.5000)